(1)
Material: NpAl2Zn3
Method: DFT, GGA-PBE
State: relaxed

Summary:
The calculation puts the volume at 105.8 Å³/cell. The value obtained for the formation energy is 0.07 eV/atom.

Cell: 5.2172 2.7297 7.8144 Å, 90.00 108.02 90.00°
Positions (direct):
Np: 0.0000 0.0000 0.0000
Al: 0.3116 0.0000 0.6873
Al: 0.6884 0.0000 0.3127
Zn: 0.2183 0.5000 0.3710
Zn: 0.5000 0.5000 0.0000
Zn: 0.7817 0.5000 0.6290



(2)
Material: Np2Al3Zn9
Method: DFT, GGA-PBE
State: relaxed

Summary:
The calculation puts the volume at 482.6 Å³/cell. The value obtained for the formation energy is -0.03 eV/atom.

Cell: 7.8165 7.8165 9.0533 Å, 90.00 90.00 60.75°
Positions (direct):
Np: 0.0011 0.3207 0.2500
Np: 0.3207 0.0011 0.7500
Np: 0.6793 0.9989 0.2500
Np: 0.9989 0.6793 0.7500
Al: 0.0000 0.0000 0.0000
Al: 0.0000 0.0000 0.5000
Al: 0.3127 0.3127 0.0000
Al: 0.3127 0.3127 0.5000
Al: 0.6873 0.6873 0.0000
Al: 0.6873 0.6873 0.5000
Zn: 0.0248 0.6562 0.0941
Zn: 0.0248 0.6562 0.4059
Zn: 0.1485 0.8515 0.2500
Zn: 0.3365 0.6635 0.5566
Zn: 0.3365 0.6635 0.9434
Zn: 0.3438 0.9752 0.0941
Zn: 0.3438 0.9752 0.4059
Zn: 0.3582 0.4508 0.2500
Zn: 0.4508 0.3582 0.7500
Zn: 0.5492 0.6418 0.2500
Zn: 0.6418 0.5492 0.7500
Zn: 0.6562 0.0248 0.5941
Zn: 0.6562 0.0248 0.9059
Zn: 0.6635 0.3365 0.0566
Zn: 0.6635 0.3365 0.4434
Zn: 0.8515 0.1485 0.7500
Zn: 0.9752 0.3438 0.5941
Zn: 0.9752 0.3438 0.9059



(3)
Material: NpAl2Zn9
Method: DFT, GGA-PBE
State: relaxed

Summary:
The calculation puts the volume at 391.7 Å³/cell. The value obtained for the formation energy is -0.02 eV/atom.

Cell: 8.2604 8.2604 8.2604 Å, 100.32 100.32 129.92°
Positions (direct):
Np: 0.3750 0.6250 0.7500
Np: 0.6250 0.3750 0.2500
Al: 0.0000 0.0000 0.0000
Al: 0.0000 0.0000 0.5000
Al: 0.0000 0.5000 0.0000
Al: 0.5000 0.0000 0.5000
Zn: 0.1250 0.8750 0.2500
Zn: 0.1263 0.5506 0.3343
Zn: 0.1263 0.7920 0.5757
Zn: 0.2080 0.2837 0.3343
Zn: 0.2080 0.8737 0.9243
Zn: 0.2837 0.2080 0.8343
Zn: 0.2837 0.4494 0.0757
Zn: 0.4494 0.2837 0.5757
Zn: 0.4494 0.8737 0.1657
Zn: 0.5506 0.1263 0.8343
Zn: 0.5506 0.7163 0.4243
Zn: 0.7163 0.5506 0.9243
Zn: 0.7163 0.7920 0.1657
Zn: 0.7920 0.1263 0.0757
Zn: 0.7920 0.7163 0.6657
Zn: 0.8737 0.2080 0.4243
Zn: 0.8737 0.4494 0.6657
Zn: 0.8750 0.1250 0.7500



(4)
Material: NpAl7Zn12
Method: DFT, GGA-PBE
State: relaxed

Summary:
The calculation puts the volume at 337.6 Å³/cell. The value obtained for the formation energy is 0.06 eV/atom.

Cell: 8.1371 8.1371 8.1371 Å, 113.57 113.57 113.57°
Positions (direct):
Np: 0.0000 0.0000 0.0000
Al: 0.1882 0.1882 0.5262
Al: 0.1882 0.5262 0.1882
Al: 0.4738 0.8118 0.8118
Al: 0.5000 0.5000 0.5000
Al: 0.5262 0.1882 0.1882
Al: 0.8118 0.4738 0.8118
Al: 0.8118 0.8118 0.4738
Zn: 0.0000 0.2654 0.7346
Zn: 0.0000 0.7346 0.2654
Zn: 0.0578 0.3964 0.3964
Zn: 0.2654 0.0000 0.7346
Zn: 0.2654 0.7346 0.0000
Zn: 0.3964 0.0578 0.3964
Zn: 0.3964 0.3964 0.0578
Zn: 0.6036 0.6036 0.9422
Zn: 0.6036 0.9422 0.6036
Zn: 0.7346 0.0000 0.2654
Zn: 0.7346 0.2654 0.0000
Zn: 0.9422 0.6036 0.6036



(5)
Material: NpAl2Zn
Method: DFT, GGA-PBE
State: relaxed

Summary:
The calculation puts the volume at 77.5 Å³/cell. The value obtained for the formation energy is 0.04 eV/atom. As for the distance to the lowest polymorph of the same formula: 0 meV/atom.

Cell: 4.2699 4.2699 4.2511 Å, 90.00 90.00 90.00°
Positions (direct):
Np: 0.0000 0.0000 0.0000
Al: 0.0000 0.5000 0.5000
Al: 0.5000 0.0000 0.5000
Zn: 0.5000 0.5000 0.0000



(6)
Material: Np3Al2Zn4
Method: DFT, GGA-PBE
State: relaxed

Summary:
The calculation puts the volume at 332.9 Å³/cell. The value obtained for the formation energy is -0.04 eV/atom.

Cell: 8.2777 8.2777 5.6111 Å, 90.00 90.00 120.03°
Positions (direct):
Np: 0.0000 0.0000 0.2500
Np: 0.0000 0.0000 0.7500
Np: 0.3327 0.6673 0.2500
Np: 0.3327 0.6673 0.7500
Np: 0.6673 0.3327 0.2500
Np: 0.6673 0.3327 0.7500
Al: 0.0008 0.3324 0.0000
Al: 0.3324 0.0008 0.5000
Al: 0.6676 0.9992 0.5000
Al: 0.9992 0.6676 0.0000
Zn: 0.0016 0.3338 0.5000
Zn: 0.3338 0.0016 0.0000
Zn: 0.3341 0.3349 0.5000
Zn: 0.3349 0.3341 0.0000
Zn: 0.6651 0.6659 0.0000
Zn: 0.6659 0.6651 0.5000
Zn: 0.6662 0.9984 0.0000
Zn: 0.9984 0.6662 0.5000



(7)
Material: Zr2NpAl
Method: DFT, GGA-PBE
State: relaxed

Summary:
The calculation puts the volume at 85.0 Å³/cell. The value obtained for the formation energy is -0.03 eV/atom. As for the distance to the lowest polymorph of the same formula: 0 meV/atom.

Cell: 4.5694 4.5694 4.0728 Å, 90.00 90.00 90.00°
Positions (direct):
Zr: 0.0000 0.5000 0.0000
Zr: 0.5000 0.0000 0.0000
Np: 0.0000 0.0000 0.5000
Al: 0.5000 0.5000 0.5000



(8)
Material: ZrNpAl
Method: DFT, GGA-PBE
State: relaxed

Summary:
The calculation puts the volume at 252.5 Å³/cell. The value obtained for the formation energy is -0.01 eV/atom.

Cell: 9.6945 4.2044 6.5173 Å, 90.00 108.09 90.00°
Positions (direct):
Zr: 0.1671 0.0000 0.0924
Zr: 0.3329 0.5000 0.9076
Zr: 0.6671 0.5000 0.0924
Zr: 0.8329 0.0000 0.9076
Np: 0.1402 0.0000 0.5645
Np: 0.3598 0.5000 0.4355
Np: 0.6402 0.5000 0.5645
Np: 0.8598 0.0000 0.4355
Al: 0.0027 0.5000 0.7809
Al: 0.4973 0.0000 0.2191
Al: 0.5027 0.0000 0.7809
Al: 0.9973 0.5000 0.2191



(9)
Material: Zr2NpAl
Method: DFT, GGA-PBE
State: relaxed

Summary:
The calculation puts the volume at 84.2 Å³/cell. The value obtained for the formation energy is -0.01 eV/atom. As for the distance to the lowest polymorph of the same formula: 14 meV/atom.

Cell: 3.0032 3.0032 9.3304 Å, 90.00 90.00 90.00°
Positions (direct):
Zr: 0.0000 0.0000 0.2245
Zr: 0.0000 0.0000 0.7755
Np: 0.5000 0.5000 0.5000
Al: 0.5000 0.5000 0.0000



(10)
Material: Zr2NpAl
Method: DFT, GGA-PBE
State: relaxed

Summary:
The calculation puts the volume at 256.8 Å³/cell. The value obtained for the formation energy is 0.12 eV/atom. As for the distance to the lowest polymorph of the same formula: 148 meV/atom.

Cell: 3.0489 3.0489 31.8957 Å, 90.00 90.00 120.00°
Positions (direct):
Zr: 0.0000 0.0000 0.2438
Zr: 0.0000 0.0000 0.7562
Zr: 0.3333 0.6667 0.4229
Zr: 0.3333 0.6667 0.9105
Zr: 0.6667 0.3333 0.0895
Zr: 0.6667 0.3333 0.5771
Np: 0.0000 0.0000 0.0000
Np: 0.3333 0.6667 0.6667
Np: 0.6667 0.3333 0.3333
Al: 0.0000 0.0000 0.5000
Al: 0.3333 0.6667 0.1667
Al: 0.6667 0.3333 0.8333



Looking at DOS at the Fermi energy for the records above, in order, we have 0.974; 1.633; 1.330; 0.529; 2.022; 1.764; 2.115; 1.889; 1.671; 1.735 states/eV per atom.
Looking at DFT total energy for the records above, in order, we have -3.97; -3.50; -2.67; -2.67; -5.39; -5.76; -8.47; -8.42; -8.46; -8.32 eV per atom.